1.
Density functional theory data (GGA-PBE) for KScTeI2 after structural relaxation.

Unit cell a=6.0693 b=6.0693 c=6.2287 alpha=90.00 beta=90.00 gamma=90.00
With the nearest neighbours (Å) after each atom.
Fractional positions:
K: 0.0000 0.0000 0.0000  4 I 3.03, 2 Te 3.11
Sc: 0.5000 0.5000 0.5000  4 Te 4.29, 8 I 4.35
Te: 0.0000 0.0000 0.5000  2 K 3.11
I: 0.0000 0.5000 0.0000  2 K 3.03
I: 0.5000 0.0000 0.0000  2 K 3.03

- Space-group type: P4/mmm

=====

2.
Density functional theory data (GGA-PBE) for KScTl2I6 after structural relaxation.

Unit cell a=8.8210 b=8.8210 c=8.8210 alpha=57.79 beta=57.79 gamma=57.79
With the nearest neighbours (Å) after each atom.
Fractional positions:
K: 0.0000 0.0000 0.0000  6 I 3.48-3.61
Sc: 0.4928 0.4928 0.4928  6 I 2.91-2.93
Tl: 0.2928 0.2928 0.2928  6 I 3.52-3.58
Tl: 0.8036 0.8036 0.8036  6 I 3.49-3.57
I: 0.1495 0.6968 0.3918  1 Sc 2.93
I: 0.2673 0.6069 0.8271  1 Sc 2.91
I: 0.3918 0.1495 0.6968  1 Sc 2.93
I: 0.6069 0.8271 0.2673  1 Sc 2.91
I: 0.6968 0.3918 0.1495  1 Sc 2.93
I: 0.8271 0.2673 0.6069  1 Sc 2.91

- Space-group type: R3

=====

3.
Density functional theory data (GGA-PBE) for K12Se3I5 after structural relaxation.

Unit cell a=17.2379 b=17.2379 c=17.2379 alpha=109.47 beta=109.47 gamma=109.47
With the nearest neighbours (Å) after each atom.
Fractional positions:
K: 0.0679 0.2374 0.1400  2 I 3.33-3.50, 1 Se 3.40, 1 K 3.53
K: 0.0679 0.3305 0.9279  2 I 3.33-3.50, 1 Se 3.40, 1 K 3.53
K: 0.0721 0.6400 0.4026  2 I 3.33-3.50, 1 Se 3.40, 1 K 3.53
K: 0.0721 0.9321 0.6695  2 I 3.33-3.50, 1 Se 3.40, 1 K 3.53
K: 0.0974 0.7374 0.6695  2 I 3.33-3.50, 1 Se 3.40, 1 K 3.53
K: 0.0974 0.8600 0.4279  2 I 3.33-3.50, 1 Se 3.40, 1 K 3.53
K: 0.1400 0.0679 0.2374  2 I 3.33-3.50, 1 Se 3.40, 1 K 3.53
K: 0.1400 0.5721 0.9026  2 I 3.33-3.50, 1 Se 3.40, 1 K 3.53
K: 0.1695 0.2374 0.5974  2 I 3.33-3.50, 1 Se 3.40, 1 K 3.53
K: 0.1695 0.4321 0.5721  2 I 3.33-3.50, 1 Se 3.40, 1 K 3.53
K: 0.2374 0.1400 0.0679  2 I 3.33-3.50, 1 Se 3.40, 1 K 3.53
K: 0.2374 0.5974 0.1695  2 I 3.33-3.50, 1 Se 3.40, 1 K 3.53
K: 0.2626 0.3305 0.9026  2 I 3.33-3.50, 1 Se 3.40, 1 K 3.53
K: 0.2626 0.4321 0.3600  2 I 3.33-3.50, 1 Se 3.40, 1 K 3.53
K: 0.3305 0.9026 0.2626  2 I 3.33-3.50, 1 Se 3.40, 1 K 3.53
K: 0.3305 0.9279 0.0679  2 I 3.33-3.50, 1 Se 3.40, 1 K 3.53
K: 0.3600 0.2626 0.4321  2 I 3.33-3.50, 1 Se 3.40, 1 K 3.53
K: 0.3600 0.5974 0.9279  2 I 3.33-3.50, 1 Se 3.40, 1 K 3.53
K: 0.4026 0.0721 0.6400  2 I 3.33-3.50, 1 Se 3.40, 1 K 3.53
K: 0.4026 0.8305 0.7626  2 I 3.33-3.50, 1 Se 3.40, 1 K 3.53
K: 0.4279 0.0974 0.8600  2 I 3.33-3.50, 1 Se 3.40, 1 K 3.53
K: 0.4279 0.8305 0.5679  2 I 3.33-3.50, 1 Se 3.40, 1 K 3.53
K: 0.4321 0.3600 0.2626  2 I 3.33-3.50, 1 Se 3.40, 1 K 3.53
K: 0.4321 0.5721 0.1695  2 I 3.33-3.50, 1 Se 3.40, 1 K 3.53
K: 0.5679 0.4279 0.8305  2 I 3.33-3.50, 1 Se 3.40, 1 K 3.53
K: 0.5679 0.6400 0.7374  2 I 3.33-3.50, 1 Se 3.40, 1 K 3.53
K: 0.5721 0.1695 0.4321  2 I 3.33-3.50, 1 Se 3.40, 1 K 3.53
K: 0.5721 0.9026 0.1400  2 I 3.33-3.50, 1 Se 3.40, 1 K 3.53
K: 0.5974 0.1695 0.2374  2 I 3.33-3.50, 1 Se 3.40, 1 K 3.53
K: 0.5974 0.9279 0.3600  2 I 3.33-3.50, 1 Se 3.40, 1 K 3.53
K: 0.6400 0.4026 0.0721  2 I 3.33-3.50, 1 Se 3.40, 1 K 3.53
K: 0.6400 0.7374 0.5679  2 I 3.33-3.50, 1 Se 3.40, 1 K 3.53
K: 0.6695 0.0721 0.9321  2 I 3.33-3.50, 1 Se 3.40, 1 K 3.53
K: 0.6695 0.0974 0.7374  2 I 3.33-3.50, 1 Se 3.40, 1 K 3.53
K: 0.7374 0.5679 0.6400  2 I 3.33-3.50, 1 Se 3.40, 1 K 3.53
K: 0.7374 0.6695 0.0974  2 I 3.33-3.50, 1 Se 3.40, 1 K 3.53
K: 0.7626 0.4026 0.8305  2 I 3.33-3.50, 1 Se 3.40, 1 K 3.53
K: 0.7626 0.8600 0.9321  2 I 3.33-3.50, 1 Se 3.40, 1 K 3.53
K: 0.8305 0.5679 0.4279  2 I 3.33-3.50, 1 Se 3.40, 1 K 3.53
K: 0.8305 0.7626 0.4026  2 I 3.33-3.50, 1 Se 3.40, 1 K 3.53
K: 0.8600 0.4279 0.0974  2 I 3.33-3.50, 1 Se 3.40, 1 K 3.53
K: 0.8600 0.9321 0.7626  2 I 3.33-3.50, 1 Se 3.40, 1 K 3.53
K: 0.9026 0.1400 0.5721  2 I 3.33-3.50, 1 Se 3.40, 1 K 3.53
K: 0.9026 0.2626 0.3305  2 I 3.33-3.50, 1 Se 3.40, 1 K 3.53
K: 0.9279 0.0679 0.3305  2 I 3.33-3.50, 1 Se 3.40, 1 K 3.53
K: 0.9279 0.3600 0.5974  2 I 3.33-3.50, 1 Se 3.40, 1 K 3.53
K: 0.9321 0.6695 0.0721  2 I 3.33-3.50, 1 Se 3.40, 1 K 3.53
K: 0.9321 0.7626 0.8600  2 I 3.33-3.50, 1 Se 3.40, 1 K 3.53
Se: 0.1250 0.2500 0.3750  8 K 3.40-3.75
Se: 0.1250 0.3750 0.7500  8 K 3.40-3.75
Se: 0.2500 0.3750 0.1250  8 K 3.40-3.75
Se: 0.2500 0.8750 0.6250  8 K 3.40-3.75
Se: 0.3750 0.1250 0.2500  8 K 3.40-3.75
Se: 0.3750 0.7500 0.1250  8 K 3.40-3.75
Se: 0.6250 0.2500 0.8750  8 K 3.40-3.75
Se: 0.6250 0.8750 0.7500  8 K 3.40-3.75
Se: 0.7500 0.1250 0.3750  8 K 3.40-3.75
Se: 0.7500 0.6250 0.8750  8 K 3.40-3.75
Se: 0.8750 0.6250 0.2500  8 K 3.40-3.75
Se: 0.8750 0.7500 0.6250  8 K 3.40-3.75
I: 0.0000 0.0000 0.0000  6 K 3.50
I: 0.0000 0.0000 0.5000  6 K 3.50
I: 0.0000 0.5000 0.0000  6 K 3.50
I: 0.0000 0.5000 0.5000  6 K 3.50
I: 0.1250 0.7500 0.8750  4 K 3.33
I: 0.1250 0.8750 0.2500  4 K 3.33
I: 0.2500 0.1250 0.8750  4 K 3.33
I: 0.2500 0.6250 0.3750  4 K 3.33
I: 0.3750 0.2500 0.6250  4 K 3.33
I: 0.3750 0.6250 0.7500  4 K 3.33
I: 0.5000 0.0000 0.0000  6 K 3.50
I: 0.5000 0.0000 0.5000  6 K 3.50
I: 0.5000 0.5000 0.0000  6 K 3.50
I: 0.5000 0.5000 0.5000  6 K 3.50
I: 0.6250 0.3750 0.2500  4 K 3.33
I: 0.6250 0.7500 0.3750  4 K 3.33
I: 0.7500 0.3750 0.6250  4 K 3.33
I: 0.7500 0.8750 0.1250  4 K 3.33
I: 0.8750 0.1250 0.7500  4 K 3.33
I: 0.8750 0.2500 0.1250  4 K 3.33

- Space-group type: Ia-3d

=====

4.
Density functional theory data (GGA-PBE) for KSeI2 after structural relaxation.

Unit cell a=5.9459 b=5.9459 c=5.9459 alpha=60.00 beta=60.00 gamma=60.00
With the nearest neighbours (Å) after each atom.
Fractional positions:
K: 0.0000 0.0000 0.0000  8 I 3.64
Se: 0.5000 0.5000 0.5000  8 I 3.64
I: 0.2500 0.2500 0.2500  4 Se 3.64, 4 K 3.64
I: 0.7500 0.7500 0.7500  4 Se 3.64, 4 K 3.64

- Space-group type: Fm-3m

=====

no.,energy (eV for the cell shown),E_form (uncorrected) (eV/f.u.)
1,-12.781,0.89
2,-31.869,-10.41
3,-213.486,-22.00
4,-8.507,-0.83